[1]
GGA-PBE RbLaMg2Os, relaxed; formation enthalpy at 0 K = 0.7 eV/f.u.; density = 4.93 g cm⁻³
1.0
-4.8640 -1.0237 2.2658
2.4569 -1.2166 4.7248
-0.3645 5.0016 1.4774
Mg Os Rb La
2 1 1 1
direct
0.0000 0.5000 0.0000
0.5000 0.0000 0.0000
0.0000 0.0000 0.0000
0.5000 0.5000 0.5000
0.0000 0.0000 0.5000



[2]
GGA-PBE SrNbAlO4, relaxed; density = 2.90 g cm⁻³; ΔE_f (raw) = -48.4 kcal/mol of atoms
1.0
6.0325 0.0000 0.0000
3.0163 5.2243 0.0000
3.0163 1.7414 4.9255
Sr Nb Al O
1 1 1 4
direct
0.7500 0.7500 0.7500
0.5000 0.5000 0.5000
0.2500 0.2500 0.2500
0.3700 0.3700 0.8900
0.3700 0.3700 0.3700
0.3700 0.8900 0.3700
0.8900 0.3700 0.3700



no.,total magnetic moment (μB/f.u.)
1,0.00
2,1.00